No. 1
DFT (GGA-PBE) results for a geometry-optimized HfSe structure.

Its total energy is -44.945 eV per cell. As for the raw formation energy: -0.772 eV per atom.

The space group is R-3m (No. 166, hexagonal axes) and the conventional cell measures 3.4409, 3.4409 and 11.6437 Å, with angles of 90.00, 90.00 and 120.00 degrees. Symmetry generates all atoms from Hf at (0.0000, 0.0000, 0.0000) and Se at (0.0000, 0.0000, 0.5000).

---

No. 2
DFT (GGA-PBE) results for a geometry-optimized NdMg3Tl4 structure.

The calculation puts the energy of formation at -0.162 eV/atom. Its total energy is -20.315 eV per cell.

The space group is P4/mmm (No. 123) and the conventional cell measures 5.1040, 5.1040 and 7.9314 Å, with angles of 90.00, 90.00 and 90.00 degrees. Symmetry generates all atoms from Nd at (0.0000, 0.0000, 0.0000), Mg at (0.0000, 0.0000, 0.5000), Mg at (0.5000, 0.5000, 0.0000), Mg at (0.5000, 0.5000, 0.5000) and Tl at (0.0000, 0.5000, 0.2661).

---

Question: Number 1 is which compound?
Answer: HfSe